VASP calculation (GGA-PBE) on a relaxed La4Tb3PuSe8 crystal.

```
data_La4Tb3PuSe8
_chemical_formula_sum 'La12 Tb9 Pu3 Se24'
_space_group_name_H-M_alt 'R -3 m'
_space_group_IT_number 166
_space_group_name_Hall '-R 3 2"'
_cell_length_a 8.3982
_cell_length_b 8.3982
_cell_length_c 20.7462
_cell_angle_alpha 90.00
_cell_angle_beta 90.00
_cell_angle_gamma 120.00
loop_
_atom_site_label
_atom_site_type_symbol
_atom_site_fract_x
_atom_site_fract_y
_atom_site_fract_z
_atom_site_occupancy
La1 La 0.0000 0.0000 0.0000 1
La2 La 0.0000 0.5000 0.0000 1
Tb1 Tb 0.0000 0.5000 0.5000 1
Pu1 Pu 0.0000 0.0000 0.5000 1
Se1 Se 0.0000 0.0000 0.2444 1
Se2 Se 0.0019 0.5009 0.7552 1
```

## Properties
* DFT total energy: -105.637 eV per formula unit


VASP calculation (GGA-PBE) on a relaxed TlVSe2N crystal.

```
data_TlVSe2N
_chemical_formula_sum 'Tl1 V1 Se2 N1'
_space_group_name_H-M_alt 'P 4/m m m'
_space_group_IT_number 123
_space_group_name_Hall '-P 4 2'
_cell_length_a 5.1450
_cell_length_b 5.1450
_cell_length_c 3.6900
_cell_angle_alpha 90.00
_cell_angle_beta 90.00
_cell_angle_gamma 90.00
loop_
_atom_site_label
_atom_site_type_symbol
_atom_site_fract_x
_atom_site_fract_y
_atom_site_fract_z
_atom_site_occupancy
Tl1 Tl 0.0000 0.0000 0.0000 1
V1 V 0.5000 0.5000 0.5000 1
Se1 Se 0.0000 0.5000 0.5000 1
N1 N 0.5000 0.5000 0.0000 1
```

## Properties
* relative energy among the computed polymorphs: 0 meV per atom


| no. | density of states at the Fermi level (states/eV per atom) |
| --- | --- |
| 1 | 0.99 |
| 2 | 0.73 |